# ZnRe2Se PBE-GGA relaxed
data_ZnRe2Se
_chemical_formula_sum 'Zn1 Re2 Se1'
_cell_length_a 4.6196
_cell_length_b 4.6196
_cell_length_c 4.6196
_cell_angle_alpha 126.29
_cell_angle_beta 126.29
_cell_angle_gamma 79.42
_symmetry_space_group_name_H-M 'P 1'
_symmetry_Int_Tables_number 1
loop_
_symmetry_equiv_pos_as_xyz
'x,y,z'
loop_
_atom_site_label
_atom_site_fract_x
_atom_site_fract_y
_atom_site_fract_z
Zn1 0.0000 0.0000 0.0000
Re1 0.2500 0.7500 0.5000
Re2 0.5000 0.5000 0.0000
Se1 0.7500 0.2500 0.5000
# Formation energy from raw total energies = 0.6180 eV per atom
# Final energy = -27.18 eV per cell
# Energy above the lowest structure with this stoichiometry = 421 meV per atom
# Crystal system = tetragonal
# Space-group type = I-4m2, No. 119